1.
Here is a relaxed structure of Na3HS from the Alexandria database. Energies are from PBE.

Lattice parameters (Å, degrees): 4.4183 4.4183 4.4183 90.00 90.00 90.00
Fractional positions:
Na 0.0000 0.0000 0.5000
Na 0.5000 0.0000 0.0000
Na 0.0000 0.5000 0.0000
S 0.5000 0.5000 0.5000
H 0.0000 0.0000 0.0000

## Properties
Theoretical density: 2.0 g/cm3
Uncorrected energy: -2.95 eV/atom
Total magnetic moment: 0.0 μB per formula unit
Symmetry: Pm-3m, No. 221


2.
Here is a relaxed structure of BaVW2 from the Alexandria database. Energies are from PBE.

Lattice parameters (Å, degrees): 5.1088 5.1088 9.2553 73.98 73.98 90.00
Fractional positions:
Ba 0.0000 0.0000 0.0000
Ba 0.7500 0.2500 0.5000
W 0.3750 0.6249 0.7500
W 0.3751 0.1250 0.2500
W 0.8750 0.6251 0.7500
W 0.3749 0.6250 0.2500
V 0.5000 0.5000 0.0000
V 0.2500 0.7500 0.5000

## Properties
Formation enthalpy at 0 K: 1.56 eV per atom
Theoretical density: 8.3 g/cm3
Uncorrected energy: -7.68 eV/atom
Total magnetic moment: 0.0 μB per formula unit
Symmetry: I4_1/amd, No. 141


3.
Here is a relaxed structure of CdAsW2 from the Alexandria database. Energies are from PBE.

Lattice parameters (Å, degrees): 4.6118 4.6118 3.1200 90.00 90.00 90.00
Fractional positions:
W 0.0000 0.0000 0.0000
W 0.5000 0.5000 0.0000
Cd 0.0000 0.5000 0.5000
As 0.5000 0.0000 0.5000

## Properties
Formation enthalpy at 0 K: 0.85 eV per atom
Theoretical density: 13.9 g/cm3
Uncorrected energy: -7.02 eV/atom
Total magnetic moment: 0.0 μB per formula unit
Symmetry: P4/mmm, No. 123


4.
Here is a relaxed structure of YMg5Pd2 from the Alexandria database. Energies are from PBE.

Lattice parameters (Å, degrees): 4.0661 6.8443 6.8443 75.38 72.72 72.72
Fractional positions:
Y 0.0000 0.0000 0.0000
Mg 0.6582 0.1550 0.5285
Mg 0.6582 0.5285 0.1550
Mg 0.0000 0.5000 0.5000
Mg 0.3418 0.4715 0.8450
Mg 0.3418 0.8450 0.4715
Pd 0.7266 0.7735 0.7735
Pd 0.2734 0.2265 0.2265

## Properties
Formation enthalpy at 0 K: -0.44 eV per atom
Theoretical density: 4.1 g/cm3
Uncorrected energy: -3.55 eV/atom
Total magnetic moment: 0.0 μB per formula unit
Symmetry: Immm, No. 71


5.
Here is a relaxed structure of BF from the Alexandria database. Energies are from PBE.

Lattice parameters (Å, degrees): 6.1120 6.1120 6.1120 90.00 90.00 90.00
Fractional positions:
B 0.0000 0.5000 0.7500
B 0.5000 0.2500 0.0000
B 0.5000 0.7500 0.0000
B 0.0000 0.5000 0.2500
B 0.7500 0.0000 0.5000
B 0.2500 0.0000 0.5000
F 0.5000 0.0000 0.7500
F 0.0000 0.2500 0.5000
F 0.0000 0.7500 0.5000
F 0.5000 0.0000 0.2500
F 0.7500 0.5000 0.0000
F 0.2500 0.5000 0.0000

## Properties
Theoretical density: 1.3 g/cm3
Uncorrected energy: -3.35 eV/atom
Total magnetic moment: 0.0 μB per formula unit
Symmetry: Pm-3n, No. 223


6.
Here is a relaxed structure of Tb2ZnGa2Rh5 from the Alexandria database. Energies are from PBE.

Lattice parameters (Å, degrees): 3.5095 9.8086 9.8086 90.00 90.00 90.00
Fractional positions:
Ga 0.0000 0.8738 0.3738
Ga 0.0000 0.3738 0.1262
Ga 0.0000 0.6262 0.8738
Ga 0.0000 0.1262 0.6262
Rh 0.5000 0.9340 0.2015
Rh 0.5000 0.0000 0.5000
Rh 0.5000 0.7985 0.9340
Rh 0.5000 0.2985 0.5660
Rh 0.5000 0.2015 0.0660
Rh 0.5000 0.4340 0.2985
Rh 0.5000 0.7015 0.4340
Rh 0.5000 0.5000 0.0000
Rh 0.5000 0.5660 0.7015
Rh 0.5000 0.0660 0.7985
Zn 0.0000 0.0000 0.0000
Zn 0.0000 0.5000 0.5000
Tb 0.0000 0.8266 0.6734
Tb 0.0000 0.6734 0.1734
Tb 0.0000 0.1734 0.3266
Tb 0.0000 0.3266 0.8266

## Properties
Formation enthalpy at 0 K: -0.72 eV per atom
Theoretical density: 10.2 g/cm3
Uncorrected energy: -6.05 eV/atom
Total magnetic moment: 0.0 μB per formula unit
Symmetry: P4/mbm, No. 127


7.
Here is a relaxed structure of HfIn2SnGe from the Alexandria database. Energies are from PBE.

Lattice parameters (Å, degrees): 5.2035 5.1783 5.2035 90.00 90.00 90.00
Fractional positions:
In 0.5000 0.0000 0.0000
In 0.0000 0.0000 0.5000
Sn 0.5000 0.5000 0.5000
Hf 0.0000 0.5000 0.0000
Ge 0.0000 0.0000 0.0000

## Properties
Formation enthalpy at 0 K: 0.48 eV per atom
Theoretical density: 7.1 g/cm3
Uncorrected energy: -4.33 eV/atom
Total magnetic moment: 0.0 μB per formula unit
Symmetry: P4/mmm, No. 123


8.
Here is a relaxed structure of DyZnGa2Au from the Alexandria database. Energies are from PBE.

Lattice parameters (Å, degrees): 4.1846 4.1846 6.2015 109.72 109.72 90.00
Fractional positions:
Dy 0.0000 0.0000 0.0000
Ga 0.3896 0.3896 0.7793
Ga 0.6104 0.6104 0.2207
Au 0.7500 0.2500 0.5000
Zn 0.2500 0.7500 0.5000

## Properties
Formation enthalpy at 0 K: -0.52 eV per atom
Theoretical density: 9.8 g/cm3
Uncorrected energy: -3.56 eV/atom
Total magnetic moment: 0.0 μB per formula unit
Symmetry: I-4m2, No. 119


9.
Here is a relaxed structure of La6AgRh2I3 from the Alexandria database. Energies are from PBE.

Lattice parameters (Å, degrees): 7.4809 7.4809 8.6334 98.30 98.30 120.00
Fractional positions:
La 0.0639 0.4197 0.1913
La 0.5803 0.9361 0.8087
La 0.7078 0.7078 0.1902
La 0.4197 0.0639 0.1913
La 0.9361 0.5803 0.8087
La 0.2922 0.2922 0.8098
I 0.5000 0.5000 0.5000
I 0.1636 0.8364 0.5000
I 0.8364 0.1636 0.5000
Rh 0.3331 0.6669 0.0000
Rh 0.6669 0.3331 0.0000
Ag 0.0000 0.0000 0.0000

## Properties
Theoretical density: 6.3 g/cm3
Uncorrected energy: -5.21 eV/atom
Total magnetic moment: 0.0 μB per formula unit
Symmetry: C2/m, No. 12


10.
Here is a relaxed structure of SrLiY2 from the Alexandria database. Energies are from PBE.

Lattice parameters (Å, degrees): 3.9296 5.7270 6.0336 90.00 90.00 90.00
Fractional positions:
Y 0.0000 0.0000 0.0000
Y 0.5000 0.5000 0.0000
Sr 0.0000 0.5000 0.5000
Li 0.5000 0.0000 0.5000

## Properties
Formation enthalpy at 0 K: 0.21 eV per atom
Theoretical density: 3.3 g/cm3
Uncorrected energy: -3.92 eV/atom
Total magnetic moment: 0.0 μB per formula unit
Symmetry: Pmmm, No. 47


11.
Here is a relaxed structure of La2Pd2Rh from the Alexandria database. Energies are from PBE.

Lattice parameters (Å, degrees): 7.4787 7.4787 4.0703 90.00 90.00 90.00
Fractional positions:
La 0.3174 0.1826 0.5000
La 0.6826 0.8174 0.5000
La 0.8174 0.3174 0.5000
La 0.1826 0.6826 0.5000
Rh 0.5000 0.5000 0.0000
Rh 0.0000 0.0000 0.0000
Pd 0.1289 0.3711 0.0000
Pd 0.3711 0.8711 0.0000
Pd 0.8711 0.6289 0.0000
Pd 0.6289 0.1289 0.0000

## Properties
Formation enthalpy at 0 K: -0.66 eV per atom
Theoretical density: 8.7 g/cm3
Uncorrected energy: -6.18 eV/atom
Total magnetic moment: 0.0 μB per formula unit
Symmetry: P4/mbm, No. 127


12.
Here is a relaxed structure of K5BiBr8 from the Alexandria database. Energies are from PBE.

Lattice parameters (Å, degrees): 8.5206 8.5206 8.5206 109.62 109.62 109.18
Fractional positions:
K 0.9940 0.1234 0.3883
K 0.7351 0.6057 0.6117
K 0.3943 0.0060 0.1294
K 0.5000 0.5000 0.0000
K 0.8766 0.2649 0.8706
Bi 0.2500 0.7500 0.5000
Br 0.1248 0.9750 0.7258
Br 0.5990 0.8600 0.3963
Br 0.1400 0.5363 0.7390
Br 0.2492 0.3990 0.2742
Br 0.6010 0.8752 0.8502
Br 0.0250 0.7508 0.1498
Br 0.4637 0.2027 0.6037
Br 0.7973 0.4010 0.2610

## Properties
Theoretical density: 3.6 g/cm3
Uncorrected energy: -3.04 eV/atom
Total magnetic moment: 0.0 μB per formula unit
Symmetry: I-4, No. 82